[1]
Density functional theory data (PBE) for Ac3LaSm after structural relaxation.

a = 8.6774 Å, b = 5.8830 Å, c = 8.8136 Å
α = 90.00°, β = 106.01°, γ = 90.00°
With the nearest neighbours (Å) after each atom.
Positions (direct):
Ac 0.0312 0.2500 0.3435  1 Sm 3.37, 1 La 3.66
Ac 0.3443 0.7500 0.0145  1 Sm 3.44, 3 La 3.72-3.73
Ac 0.3628 0.7500 0.5060  3 Sm 3.59-3.98, 3 Ac 3.80-3.99
Ac 0.6372 0.2500 0.4940  3 Sm 3.59-3.98, 3 Ac 3.80-3.99
Ac 0.6557 0.2500 0.9855  1 Sm 3.44, 3 La 3.72-3.73
Ac 0.9688 0.7500 0.6565  1 Sm 3.37, 1 La 3.66
La 0.0708 0.2500 0.9409  1 Sm 3.15, 2 La 3.46
La 0.9292 0.7500 0.0591  1 Sm 3.15, 2 La 3.46
Sm 0.2885 0.2500 0.7082  1 La 3.15, 2 Ac 3.37-3.44
Sm 0.7114 0.7500 0.2918  1 La 3.15, 2 Ac 3.37-3.44

Output
The calculation puts the total energy at -41.67 eV for the cell shown. The energy above the most stable polymorph in this dataset comes out at 0.193 eV/atom. The formation enthalpy at 0 K comes out at 5.238 kcal/mol of atoms. As for the space group: P2_1/m (11).

***

[2]
Density functional theory data (PBE) for CaVGe2 after structural relaxation.

a = 6.0690 Å, b = 6.0690 Å, c = 6.0690 Å
α = 39.94°, β = 39.94°, γ = 39.94°
With the nearest neighbours (Å) after each atom.
Positions (direct):
Ca 0.0000 0.0000 0.0000  6 Ge 3.03
V 0.5000 0.5000 0.5000  6 Ge 2.57
Ge 0.2219 0.2219 0.2219  3 V 2.57
Ge 0.7781 0.7781 0.7781  3 V 2.57

Output
The calculation puts the total energy at -21.12 eV for the cell shown. The formation enthalpy at 0 K comes out at -4.432 kcal/mol of atoms. As for the space group: R-3m (166).

***

[3]
Density functional theory data (PBE) for NiTeOs2 after structural relaxation.

a = 2.8522 Å, b = 3.6519 Å, c = 6.5076 Å
α = 90.00°, β = 102.65°, γ = 90.00°
With the nearest neighbours (Å) after each atom.
Positions (direct):
Ni 0.0000 0.0000 0.0000  5 Os 2.57-2.72, 4 Te 2.74-2.75, 2 Ni 2.85
Te 0.3830 0.5000 0.7688  4 Ni 2.74-2.75, 2 Te 2.85, 3 Os 2.88-2.94
Os 0.2022 0.0000 0.4055  1 Ni 2.57, 6 Os 2.59-2.85
Os 0.6091 0.5000 0.2222  6 Os 2.59-2.85, 4 Ni 2.71-2.72, 1 Te 2.88

Output
The calculation puts the total energy at -29.37 eV for the cell shown. Its uncorrected formation energy is 502 meV per atom. As for the space group: Pm (6).

***

[4]
Density functional theory data (PBE) for Y2WC after structural relaxation.

a = 8.8860 Å, b = 8.8860 Å, c = 8.8860 Å
α = 21.62°, β = 21.62°, γ = 21.62°
With the nearest neighbours (Å) after each atom.
Positions (direct):
Y 0.1130 0.1130 0.1130  3 C 2.38
Y 0.8870 0.8870 0.8870  3 C 2.38
W 0.0000 0.0000 0.0000  2 Y 2.94
C 0.5000 0.5000 0.5000  6 Y 2.38

Output
The calculation puts the total energy at -32.16 eV for the cell shown. The formation enthalpy at 0 K comes out at 16.965 kcal/mol of atoms. As for the space group: R-3m (166).

***

[5]
Density functional theory data (PBE) for Y2GaAg2 after structural relaxation.

a = 9.0152 Å, b = 9.0152 Å, c = 9.0152 Å
α = 155.94°, β = 155.94°, γ = 34.28°
With the nearest neighbours (Å) after each atom.
Positions (direct):
Y 0.1007 0.1007 0.0000  4 Ga 3.17, 4 Ag 3.19, 1 Y 3.47
Y 0.8993 0.8993 0.0000  4 Ga 3.17, 4 Ag 3.19, 1 Y 3.47
Ga 0.5000 0.5000 0.0000  8 Y 3.17
Ag 0.2500 0.7500 0.5000  4 Ag 2.66
Ag 0.7500 0.2500 0.5000  4 Ag 2.66

Output
The calculation puts the total energy at -22.55 eV for the cell shown. The energy above the most stable polymorph in this dataset comes out at 0.199 eV/atom. The formation enthalpy at 0 K comes out at -4.131 kcal/mol of atoms. As for the space group: I4/mmm (139).

***

[6]
Density functional theory data (PBE) for LuTiCuHg after structural relaxation.

a = 4.8054 Å, b = 4.8054 Å, c = 4.8054 Å
α = 60.00°, β = 60.00°, γ = 60.00°
With the nearest neighbours (Å) after each atom.
Positions (direct):
Lu 0.0000 0.0000 0.0000  4 Cu 2.94, 4 Hg 2.94
Ti 0.5000 0.5000 0.5000  4 Hg 2.94, 4 Cu 2.94
Cu 0.7500 0.7500 0.7500  4 Ti 2.94, 4 Lu 2.94
Hg 0.2500 0.2500 0.2500  4 Ti 2.94, 4 Lu 2.94

Output
The calculation puts the total energy at -17.18 eV for the cell shown. The formation enthalpy at 0 K comes out at -2.095 kcal/mol of atoms. As for the space group: F-43m (216).

***

[7]
Density functional theory data (PBE) for Lu2C3N6 after structural relaxation.

a = 6.1556 Å, b = 6.1556 Å, c = 6.1556 Å
α = 61.10°, β = 61.10°, γ = 61.10°
With the nearest neighbours (Å) after each atom.
Positions (direct):
Lu 0.1731 0.1731 0.1731  6 N 2.28-2.34
Lu 0.8269 0.8269 0.8269  6 N 2.28-2.34
C 0.0000 0.2862 0.7138  2 N 1.23
C 0.2862 0.7138 0.0000  2 N 1.23
C 0.7138 0.0000 0.2862  2 N 1.23
N 0.0146 0.1620 0.5969  1 C 1.23
N 0.1620 0.5969 0.0146  1 C 1.23
N 0.4031 0.8380 0.9854  1 C 1.23
N 0.5969 0.0146 0.1620  1 C 1.23
N 0.8380 0.9854 0.4031  1 C 1.23
N 0.9854 0.4031 0.8380  1 C 1.23

Output
The calculation puts the total energy at -95.42 eV for the cell shown. The energy above the most stable polymorph in this dataset comes out at 0.045 eV/atom. Its uncorrected formation energy is -796 meV per atom. As for the space group: R32 (155).

***

[8]
Density functional theory data (PBE) for ScTa3Rh after structural relaxation.

a = 4.8404 Å, b = 4.8404 Å, c = 4.8404 Å
α = 90.00°, β = 90.00°, γ = 90.00°
With the nearest neighbours (Å) after each atom.
Positions (direct):
Sc 0.0000 0.0000 0.0000  12 Ta 3.42
Ta 0.0000 0.5000 0.5000  2 Rh 2.42
Ta 0.5000 0.0000 0.5000  2 Rh 2.42
Ta 0.5000 0.5000 0.0000  2 Rh 2.42
Rh 0.5000 0.5000 0.5000  6 Ta 2.42

Output
The calculation puts the total energy at -44.82 eV for the cell shown. The energy above the most stable polymorph in this dataset comes out at 0.000 eV/atom. The formation enthalpy at 0 K comes out at 20.392 kcal/mol of atoms. As for the space group: Pm-3m (221).